A plane-wave DFT calculation with PBE was carried out for a geometry-optimized LaReSe2Br structure.

Lattice parameters (Å, degrees): 4.9206 4.9206 5.1012 90.00 90.00 90.00
Last column: nearest neighbours and their distance in Å.
Sites, in units of the cell vectors:
Re  0.0000  0.0000  0.0000  4 Se 2.46, 2 Br 2.55
Se  0.0000  0.5000  0.0000  2 Re 2.46
Se  0.5000  0.0000  0.0000  2 Re 2.46
Br  0.0000  0.0000  0.5000  2 Re 2.55
La  0.5000  0.5000  0.5000  4 Br 3.48, 8 Se 3.54

## Properties
Relative energy among the computed polymorphs: 0 meV/atom
Raw formation energy: -0.3182 eV per atom

***

A plane-wave DFT calculation with PBE was carried out for a geometry-optimized B4C structure.

Lattice parameters (Å, degrees): 5.1892 5.1892 5.1892 65.89 65.89 65.89
Last column: nearest neighbours and their distance in Å.
Sites, in units of the cell vectors:
B  0.8064  0.3087  0.8064  1 C 1.66, 5 B 1.76-1.79
B  0.8064  0.8064  0.3087  1 C 1.66, 5 B 1.76-1.79
B  0.3087  0.8064  0.8064  1 C 1.66, 5 B 1.76-1.79
B  0.1936  0.6913  0.1936  1 C 1.66, 5 B 1.76-1.79
B  0.1936  0.1936  0.6913  1 C 1.66, 5 B 1.76-1.79
B  0.6913  0.1936  0.1936  1 C 1.66, 5 B 1.76-1.79
B  0.9941  0.6703  0.9941  6 B 1.72-1.83
B  0.9941  0.9941  0.6703  6 B 1.72-1.83
B  0.6703  0.9941  0.9941  6 B 1.72-1.83
B  0.0059  0.3297  0.0059  6 B 1.72-1.83
B  0.0059  0.0059  0.3297  6 B 1.72-1.83
B  0.3297  0.0059  0.0059  6 B 1.72-1.83
C  0.6101  0.6101  0.6101  1 C 1.33
C  0.3899  0.3899  0.3899  1 C 1.33
C  0.5000  0.5000  0.5000  2 C 1.33

## Properties
Relative energy among the computed polymorphs: 72 meV/atom
DFT formation energy: -15 kJ/mol of formula units

***

A plane-wave DFT calculation with PBE was carried out for a geometry-optimized Ho8HgPb5 structure.

Lattice parameters (Å, degrees): 8.0791 8.0791 8.0791 109.66 109.10 109.66
Last column: nearest neighbours and their distance in Å.
Sites, in units of the cell vectors:
Ho  0.1298  0.7493  0.0157  1 Hg 3.06, 5 Pb 3.10-3.39
Ho  0.9843  0.1141  0.7336  1 Hg 3.06, 5 Pb 3.10-3.39
Ho  0.7678  0.2478  0.3737  5 Pb 3.10-3.34, 1 Hg 3.36
Ho  0.6263  0.3941  0.8741  5 Pb 3.10-3.34, 1 Hg 3.36
Ho  0.4801  0.6059  0.2322  5 Pb 3.10-3.34, 1 Hg 3.36
Ho  0.6195  0.8859  0.8702  1 Hg 3.06, 5 Pb 3.10-3.39
Ho  0.2664  0.2507  0.3805  1 Hg 3.06, 5 Pb 3.10-3.39
Ho  0.1259  0.7522  0.5199  5 Pb 3.10-3.34, 1 Hg 3.36
Hg  0.2500  0.5000  0.7500  8 Ho 3.06-3.36
Pb  0.9996  0.3749  0.1262  8 Ho 3.10-3.39
Pb  0.8738  0.8734  0.2486  8 Ho 3.10-3.39
Pb  0.7514  0.6251  0.6248  8 Ho 3.10-3.39
Pb  0.5000  0.0000  0.5000  8 Ho 3.10-3.36
Pb  0.3752  0.1266  0.0004  8 Ho 3.10-3.39

## Properties
DFT formation energy: -635 kJ/mol of formula units

***

A plane-wave DFT calculation with PBE was carried out for a geometry-optimized U6Mn structure.

Lattice parameters (Å, degrees): 6.1177 6.1177 6.1177 109.47 109.47 109.47
Last column: nearest neighbours and their distance in Å.
Sites, in units of the cell vectors:
U  0.2500  0.7500  0.5000  4 U 2.50
U  0.5000  0.7500  0.2500  4 U 2.50
U  0.2500  0.5000  0.7500  4 U 2.50
U  0.7500  0.2500  0.5000  4 U 2.50
U  0.5000  0.2500  0.7500  4 U 2.50
U  0.7500  0.5000  0.2500  4 U 2.50
Mn  0.0000  0.0000  0.0000  24 U 3.95

## Properties
Relative energy among the computed polymorphs: 1588 meV/atom
DFT formation energy: 1093 kJ/mol of formula units

***

A plane-wave DFT calculation with PBE was carried out for a geometry-optimized EuGe2Ru structure.

Lattice parameters (Å, degrees): 4.1984 4.1984 5.8314 68.90 68.90 60.00
Last column: nearest neighbours and their distance in Å.
Sites, in units of the cell vectors:
Eu  0.0000  0.0000  0.0000  6 Ge 3.06
Ru  0.5000  0.5000  0.5000  6 Ge 2.55
Ge  0.7838  0.7838  0.6485  3 Ru 2.55
Ge  0.2162  0.2162  0.3515  3 Ru 2.55

## Properties
DFT formation energy: -183 kJ/mol of formula units

***

A plane-wave DFT calculation with PBE was carried out for a geometry-optimized SmDy2PuSe4 structure.

Lattice parameters (Å, degrees): 4.0946 7.1327 7.1466 109.14 90.00 90.00
Last column: nearest neighbours and their distance in Å.
Sites, in units of the cell vectors:
Sm  0.0000  0.0000  0.0000  6 Se 2.94
Dy  0.5000  0.0000  0.5000  6 Se 2.89
Dy  0.0000  0.5000  0.5000  6 Se 2.88
Pu  0.5000  0.5000  0.0000  6 Se 2.93
Se  0.5000  0.2538  0.2575  3 Dy 2.88-2.89, 1 Pu 2.93, 2 Sm 2.94
Se  0.5000  0.7462  0.7425  3 Dy 2.88-2.89, 1 Pu 2.93, 2 Sm 2.94
Se  0.0000  0.2491  0.7435  3 Dy 2.88-2.89, 2 Pu 2.93, 1 Sm 2.94
Se  0.0000  0.7509  0.2565  3 Dy 2.88-2.89, 2 Pu 2.93, 1 Sm 2.94

## Properties
Raw formation energy: -1.7342 eV per atom

***

A plane-wave DFT calculation with PBE was carried out for a geometry-optimized Ac2TmRh2I2 structure.

Lattice parameters (Å, degrees): 5.1157 5.1157 9.5494 105.54 105.54 90.00
Last column: nearest neighbours and their distance in Å.
Sites, in units of the cell vectors:
Ac  0.3930  0.3930  0.7860  4 Rh 3.18
Ac  0.6070  0.6070  0.2140  4 Rh 3.18
Tm  0.0000  0.0000  0.0000  4 Rh 2.56
Rh  0.0000  0.5000  0.0000  2 Tm 2.56
Rh  0.5000  0.0000  0.0000  2 Tm 2.56
I  0.1895  0.1895  0.3791  1 Tm 3.35, 1 Ac 3.60
I  0.8105  0.8105  0.6209  1 Tm 3.35, 1 Ac 3.60

## Properties
Raw formation energy: -0.8646 eV per atom

***

A plane-wave DFT calculation with PBE was carried out for a geometry-optimized Sr2Cu structure.

Lattice parameters (Å, degrees): 8.6850 8.6850 4.8435 90.00 90.00 120.00
Last column: nearest neighbours and their distance in Å.
Sites, in units of the cell vectors:
Sr  0.2573  0.0000  0.0000  4 Cu 3.28-3.30
Sr  0.0000  0.2573  0.0000  4 Cu 3.28-3.30
Sr  0.7427  0.7427  0.0000  4 Cu 3.28-3.30
Sr  0.5923  0.0000  0.5000  5 Cu 3.54-3.58, 6 Sr 3.79-3.94
Sr  0.0000  0.5923  0.5000  5 Cu 3.54-3.58, 6 Sr 3.79-3.94
Sr  0.4077  0.4077  0.5000  5 Cu 3.54-3.58, 6 Sr 3.79-3.94
Cu  0.3333  0.6667  0.0000  9 Sr 3.28-3.58
Cu  0.6667  0.3333  0.0000  9 Sr 3.28-3.58
Cu  0.0000  0.0000  0.5000  9 Sr 3.30-3.54

## Properties
DFT formation energy: 10 kJ/mol of formula units

***

Magnetization (computed, Bohr magnetons per cell): 0.01, 0.00, 0.00, 0.00, 6.84, 5.94, 0.00, 0.00